LiThIn | PBE | relaxed

Calculated values
The calculation puts the energy relative to the lowest polymorph listed for this composition at 0.0 meV per atom. For the volume, the calculation gives 307.6 Å³/cell. For the raw total energy, the calculation gives -48.0 eV for the cell shown.

Cell and atoms, written as CIF:
```
data_LiThIn
_chemical_formula_sum 'Li4 Th4 In4'
_symmetry_space_group_name_H-M 'F -4 3 m'
_symmetry_Int_Tables_number 216
_symmetry_space_group_name_Hall 'F -4 2 3'
_cell_length_a 6.750
_cell_length_b 6.750
_cell_length_c 6.750
_cell_angle_alpha 90.00
_cell_angle_beta 90.00
_cell_angle_gamma 90.00
loop_
_atom_site_label
_atom_site_type_symbol
_atom_site_fract_x
_atom_site_fract_y
_atom_site_fract_z
Li1 Li 0.000 0.000 0.000
Th1 Th 0.250 0.250 0.750
In1 In 0.250 0.250 0.250
```